Below is LaSi2Pb after structural relaxation, with properties calculated at the PBE level.

Values from the calculation:
Space group: No. 65
Formation energy from raw total energies: -0.165 eV per atom
E_tot: -5.036 eV/atom
Magnetization: 0.000 μB/f.u.

Geometry as extended XYZ:
```
4
Lattice="3.2952 -3.3069 0.0000 3.2952 3.3069 0.0000 0.0000 0.0000 4.3183" Properties=species:S:1:pos:R:3 pbc="T T T"
La 0.0000 0.0000 0.0000
Si 1.6476 1.6534 2.1592
Si 1.6476 -1.6534 2.1592
Pb 3.2952 0.0000 0.0000
```